Compound: La2AsH
Source: Alexandria via LeMat-Bulk
Functional: PBE-GGA
Structure: relaxed

```
4
Lattice="4.046 0.000 0.000 2.023 3.504 0.000 2.023 1.168 6.932" Properties=species:S:1:pos:R:3 pbc="T T T"
La 2.023 1.168 5.110
La 2.023 1.168 1.767
As 6.069 3.504 6.916
H 4.046 2.336 3.537
```

E above lowest polymorph in meV per atom: 95
SG: R3m, No. 160

Compound: NaTlIn2Fe
Source: Alexandria via LeMat-Bulk
Functional: PBE-GGA
Structure: relaxed

```
5
Lattice="-5.256 -1.286 0.398 0.791 -1.652 5.100 -1.089 5.005 1.790" Properties=species:S:1:pos:R:3 pbc="T T T"
Na 0.000 0.000 0.000
Tl 0.395 -0.826 2.550
Fe -2.778 1.033 3.644
In -0.545 2.502 0.895
In -2.628 -0.643 0.199
```

Formation energy from the elements in eV per atom: 1.076
E above lowest polymorph in meV per atom: 969
SG: P4/mmm, No. 123

Compound: MnPt2Au
Source: Alexandria via LeMat-Bulk
Functional: PBE-GGA
Structure: relaxed

```
8
Lattice="7.177 0.000 0.000 0.000 7.177 0.000 3.588 3.588 2.690" Properties=species:S:1:pos:R:3 pbc="T T T"
Mn 3.588 3.588 0.000
Mn 3.588 7.177 1.345
Au 0.000 0.000 0.000
Au 7.177 3.588 1.345
Pt 5.205 1.794 0.673
Pt 1.972 5.383 0.673
Pt 5.383 5.561 2.018
Pt 8.971 8.793 2.018
```

Formation energy from the elements in eV per atom: 0.116
SG: I-42d, No. 122

Compound: LiTb2GaPt6
Source: Alexandria via LeMat-Bulk
Functional: PBE-GGA
Structure: relaxed

```
10
Lattice="-5.922 -1.463 -6.185 4.081 -0.628 -3.750 -2.519 -5.873 -5.891" Properties=species:S:1:pos:R:3 pbc="T T T"
Li 0.000 0.000 0.000
Tb 1.063 -3.151 -6.605
Tb -5.423 -4.812 -9.221
Ga -0.920 -1.045 -4.967
Pt 1.506 -0.942 -4.461
Pt -3.781 -7.342 -13.279
Pt -1.609 -3.401 -5.324
Pt -5.866 -7.022 -11.365
Pt -0.578 -0.621 -2.547
Pt -2.750 -4.562 -10.502
```

Formation energy from the elements in eV per atom: -0.787
SG: C2/m, No. 12

Compound: Al3ZnSn
Source: Alexandria via LeMat-Bulk
Functional: PBE-GGA
Structure: relaxed

```
5
Lattice="-3.660 2.035 -3.285 -1.679 -4.913 -1.172 -3.480 0.230 4.020" Properties=species:S:1:pos:R:3 pbc="T T T"
Zn -4.410 -1.324 -0.218
Sn 0.000 0.000 0.000
Al -0.839 -2.456 -0.586
Al -1.740 0.115 2.010
Al -1.830 1.017 -1.642
```

Formation energy from the elements in eV per atom: 0.917
E above lowest polymorph in meV per atom: 487
SG: Pm-3m, No. 221

Compound: MgGe3Br
Source: Alexandria via LeMat-Bulk
Functional: PBE-GGA
Structure: relaxed

```
5
Lattice="-1.306 0.978 4.900 4.873 -0.872 1.473 1.106 4.996 -0.702" Properties=species:S:1:pos:R:3 pbc="T T T"
Ge 2.436 -0.436 0.737
Ge 0.553 2.498 -0.351
Ge -0.653 0.489 2.450
Mg 0.000 0.000 0.000
Br 2.336 2.551 2.836
```

E above lowest polymorph in meV per atom: 0
E_form (uncorrected) in meV/atom: 656
SG: Pm-3m, No. 221

Compound: Tl3IrCl7
Source: Alexandria via LeMat-Bulk
Functional: PBE-GGA
Structure: relaxed

```
11
Lattice="-7.057 0.415 0.318 -0.262 -2.911 6.445 -1.919 5.529 5.130" Properties=species:S:1:pos:R:3 pbc="T T T"
Tl -6.392 2.314 4.167
Tl -5.579 4.165 8.448
Tl -2.721 0.517 7.477
Ir -1.920 5.288 5.000
Cl -1.385 0.279 1.688
Cl -5.224 1.081 1.344
Cl -8.436 3.611 6.249
Cl -0.798 -1.084 5.334
Cl -5.224 1.865 6.806
Cl -3.984 1.432 10.264
Cl -7.841 2.295 9.943
```

E_form (uncorrected) in meV/atom: -754
SG: Cm, No. 8

Compound: Ce2SmAl2Ge2
Source: Alexandria via LeMat-Bulk
Functional: PBE-GGA
Structure: relaxed

```
7
Lattice="4.379 0.000 0.000 2.190 3.793 0.000 2.190 1.264 9.296" Properties=species:S:1:pos:R:3 pbc="T T T"
Ce 2.190 1.264 5.420
Ce 6.569 3.793 3.876
Sm 0.000 0.000 0.000
Al 4.379 2.528 2.089
Al 4.379 2.528 7.207
Ge 6.569 3.793 7.387
Ge 2.190 1.264 1.909
```

Formation energy from the elements in eV per atom: -0.395
SG: R-3m, No. 166

Compound: RbSnHg2Au
Source: Alexandria via LeMat-Bulk
Functional: PBE-GGA
Structure: relaxed

```
5
Lattice="5.805 0.000 0.000 0.000 5.805 0.000 0.000 0.000 5.422" Properties=species:S:1:pos:R:3 pbc="T T T"
Au 0.000 0.000 2.711
Hg 0.000 2.903 0.000
Hg 2.903 0.000 0.000
Rb 2.903 2.903 2.711
Sn 0.000 0.000 0.000
```

Formation energy from the elements in eV per atom: -0.096
E above lowest polymorph in meV per atom: 0
SG: P4/mmm, No. 123

Compound: TlFe2Ir
Source: Alexandria via LeMat-Bulk
Functional: PBE-GGA
Structure: relaxed

```
4
Lattice="4.759 0.002 -0.003 3.846 2.803 -0.003 0.899 0.293 4.737" Properties=species:S:1:pos:R:3 pbc="T T T"
Fe 0.920 0.300 4.481
Fe 4.731 1.542 2.622
Ir 7.128 2.324 3.548
Tl 2.376 0.775 1.183
```

Formation energy from the elements in eV per atom: 0.437
E above lowest polymorph in meV per atom: 100
SG: C2/m, No. 12

Compound: HfNi3Sb
Source: Alexandria via LeMat-Bulk
Functional: PBE-GGA
Structure: relaxed

```
5
Lattice="-2.313 3.999 -0.006 -0.743 -0.437 -4.538 -3.929 -2.271 0.862" Properties=species:S:1:pos:R:3 pbc="T T T"
Sb -3.492 0.645 -1.841
Hf 0.000 0.000 0.000
Ni -0.371 -0.219 -2.269
Ni -1.964 -1.136 0.431
Ni -1.156 1.999 -0.003
```

E above lowest polymorph in meV per atom: 312
E_form (uncorrected) in meV/atom: 921
SG: Pm-3m, No. 221

Compound: Tb4Pm6Pr
Source: Alexandria via LeMat-Bulk
Functional: PBE-GGA
Structure: relaxed

```
11
Lattice="3.598 0.000 0.000 0.000 11.110 0.000 0.000 -5.555 9.622" Properties=species:S:1:pos:R:3 pbc="T T T"
Tb 1.799 5.555 6.490
Tb 1.799 2.712 1.566
Tb 1.799 8.398 1.566
Tb 0.000 0.000 6.414
Pm 0.000 5.555 0.416
Pm 1.799 2.511 7.864
Pm 0.000 3.138 4.603
Pm 0.000 7.972 4.603
Pm 1.799 -2.511 7.864
Pm 1.799 0.000 3.515
Pr 0.000 0.000 0.000
```

Formation energy from the elements in eV per atom: 0.153
SG: P-6m2, No. 187

Compound: ZnW2Cl
Source: Alexandria via LeMat-Bulk
Functional: PBE-GGA
Structure: relaxed

```
4
Lattice="4.932 0.006 -0.026 4.133 2.690 -0.026 1.266 0.377 4.830" Properties=species:S:1:pos:R:3 pbc="T T T"
Cl 7.748 2.305 3.583
W 0.009 0.003 0.021
W 5.156 1.534 2.368
Zn 2.583 0.768 1.194
```

E above lowest polymorph in meV per atom: 443
E_form (uncorrected) in meV/atom: 749
SG: C2/m, No. 12

Compound: Cs3GePt
Source: Alexandria via LeMat-Bulk
Functional: PBE-GGA
Structure: relaxed

```
5
Lattice="6.636 0.000 0.000 0.000 6.636 0.000 0.000 0.000 6.636" Properties=species:S:1:pos:R:3 pbc="T T T"
Cs 0.000 3.318 0.000
Cs 0.000 0.000 3.318
Cs 3.318 0.000 0.000
Ge 3.318 3.318 3.318
Pt 0.000 0.000 0.000
```

Formation energy from the elements in eV per atom: 0.281
E above lowest polymorph in meV per atom: 0
SG: Pm-3m, No. 221

Compound: Pu2Sn3Rh4
Source: Alexandria via LeMat-Bulk
Functional: PBE-GGA
Structure: relaxed

```
18
Lattice="6.075 0.000 0.000 0.000 7.151 0.000 -3.037 0.000 8.297" Properties=species:S:1:pos:R:3 pbc="T T T"
Pu 0.000 4.192 1.639
Pu 3.037 2.959 6.658
Pu 0.000 0.617 6.658
Pu 3.037 6.534 1.639
Sn 0.000 0.000 0.000
Sn 3.037 3.575 0.000
Sn 1.519 5.363 4.388
Sn 4.556 1.788 3.908
Sn 1.519 1.788 3.908
Sn -1.519 5.363 4.388
Rh 1.519 5.363 7.069
Rh 4.556 1.788 1.228
Rh 1.519 1.788 1.228
Rh -1.519 5.363 7.069
Rh 0.000 6.918 2.769
Rh 3.037 0.233 5.528
Rh 0.000 3.343 5.528
Rh 3.037 3.808 2.769
```

Formation energy from the elements in eV per atom: -0.549
SG: Cmce, No. 64

Compound: Y4GaRh4
Source: Alexandria via LeMat-Bulk
Functional: PBE-GGA
Structure: relaxed

```
18
Lattice="-4.133 -1.466 3.372 2.958 -7.969 0.161 4.815 1.923 6.738" Properties=species:S:1:pos:R:3 pbc="T T T"
Y 2.005 -4.188 1.726
Y 3.847 -7.157 2.694
Y 0.083 -7.328 2.543
Y 1.636 -5.483 5.249
Y 1.634 -3.325 8.545
Y -0.208 -0.356 7.577
Y 3.556 -0.185 7.728
Y 2.003 -2.030 5.022
Ga -1.157 -2.611 4.254
Ga 4.796 -4.902 6.017
Rh 3.816 -4.283 3.908
Rh 6.848 -5.140 7.252
Rh -0.439 -4.594 3.094
Rh -0.803 -0.248 4.538
Rh -0.177 -3.230 6.363
Rh -3.209 -2.373 3.019
Rh 4.078 -2.918 7.177
Rh 4.442 -7.265 5.732
```

Formation energy from the elements in eV per atom: -0.691
SG: P4_2/n, No. 86

Compound: Sm5Ru2Au
Source: Alexandria via LeMat-Bulk
Functional: PBE-GGA
Structure: relaxed

```
16
Lattice="-5.116 -2.008 5.543 -4.957 -2.508 -5.484 7.797 -3.893 0.289" Properties=species:S:1:pos:R:3 pbc="T T T"
Sm -0.496 -5.650 -0.731
Sm -6.789 -5.107 -0.846
Sm 0.000 0.000 0.000
Sm -5.037 -2.258 0.030
Sm 4.513 -3.303 1.194
Sm 1.076 -4.752 2.994
Sm 2.941 -4.201 -2.530
Sm -3.352 -3.658 -2.646
Sm -5.218 -4.209 2.879
Sm -1.781 -2.760 1.079
Ru -2.501 -1.184 -1.195
Ru -3.971 -1.638 2.780
Ru -6.102 -2.879 -2.721
Ru -7.572 -3.332 1.255
Au -3.657 -5.334 0.189
Au 1.380 -3.076 0.159
```

Formation energy from the elements in eV per atom: -0.420
SG: I4/mcm, No. 140

Compound: CsAgSnSe2
Source: Alexandria via LeMat-Bulk
Functional: PBE-GGA
Structure: relaxed

```
10
Lattice="6.288 0.000 0.000 0.000 7.265 0.000 0.000 -3.633 7.879" Properties=species:S:1:pos:R:3 pbc="T T T"
Cs 1.467 3.633 3.940
Cs 4.820 0.000 3.940
Ag 0.000 0.000 0.000
Ag 0.000 3.633 0.000
Sn 3.144 5.449 0.000
Sn 3.144 1.816 0.000
Se 4.610 3.633 6.029
Se 4.610 3.633 1.850
Se 1.678 0.000 6.029
Se 1.678 0.000 1.850
```

E_form (uncorrected) in meV/atom: -530
SG: Cmme, No. 67

Number 1: total magnetic moment 0.00 μB per formula unit. Number 2: total magnetic moment 3.45 μB per formula unit. Number 3: total magnetic moment 4.10 μB per formula unit. Number 4: total magnetic moment 0.00 μB per formula unit. Number 5: total magnetic moment 0.00 μB per formula unit. Number 6: total magnetic moment 0.00 μB per formula unit. Number 7: total magnetic moment 0.96 μB per formula unit. Number 8: total magnetic moment 1.89 μB per formula unit. Number 9: total magnetic moment 0.00 μB per formula unit. Number 10: total magnetic moment 5.35 μB per formula unit. Number 11: total magnetic moment 0.00 μB per formula unit. Number 12: total magnetic moment 0.00 μB per formula unit. Number 13: total magnetic moment 0.00 μB per formula unit. Number 14: total magnetic moment 3.01 μB per formula unit. Number 15: total magnetic moment 10.49 μB per formula unit. Number 16: total magnetic moment 0.00 μB per formula unit. Number 17: total magnetic moment 0.00 μB per formula unit. Number 18: total magnetic moment 0.00 μB per formula unit.